{
  "formula": "AlTe2Ir",
  "functional": "PBE",
  "state": "optimized geometry",
  "total_magnetization_mub_per_cell": 0.00,
  "formation_energy_uncorrected_kj_per_mol_atoms": -16,
  "dos_ef_per_ev_atom": 0.413,
  "lattice_angstrom": [[-1.531, 2.062, 7.913], [1.531, -2.062, 7.913], [1.531, 2.062, -7.913]],
  "species": ["Al", "Te", "Te", "Ir"],
  "frac_coords": [[0.000, 0.000, 0.000], [0.352, 0.852, 0.500], [0.648, 0.148, 0.500], [0.500, 0.500, 0.000]]
}